Record 1
PBE LiCoRu3, optimized geometry; E_form = 1215 meV per atom; theoretical density = 9.5 g/cm3; crystal system = cubic; V = 13.0 Å³/atom; total DFT energy (no corrections) = -6.155 eV per atom; symmetry = No. 221
1.0
-1.032 -3.745 1.022
2.502 0.167 3.139
-2.969 1.443 2.289
Ru Co Li
3 1 1
direct
0.000 0.500 0.000 Ru
0.000 0.000 0.500 Ru
0.500 0.000 0.000 Ru
0.500 0.500 0.500 Co
0.000 0.000 0.000 Li

---

Record 2
PBE LiCoRu, optimized geometry; E_form = 306 meV per atom; theoretical density = 6.5 g/cm3; crystal system = orthorhombic; V = 14.1 Å³/atom; total DFT energy (no corrections) = -5.793 eV per atom; symmetry = No. 62
1.0
6.651 0.000 0.000
0.000 3.860 0.000
0.000 0.000 6.603
Ru Co Li
4 4 4
direct
0.164 0.250 0.408 Ru
0.336 0.750 0.908 Ru
0.836 0.750 0.592 Ru
0.664 0.250 0.092 Ru
0.822 0.250 0.399 Co
0.678 0.750 0.899 Co
0.178 0.750 0.601 Co
0.322 0.250 0.101 Co
0.010 0.250 0.838 Li
0.490 0.750 0.338 Li
0.990 0.750 0.162 Li
0.510 0.250 0.662 Li

---

Record 3
PBE LiCoRu2, optimized geometry; E_form = 323 meV per atom; theoretical density = 9.2 g/cm3; crystal system = tetragonal; V = 12.2 Å³/atom; total DFT energy (no corrections) = -6.570 eV per atom; symmetry = No. 123
1.0
2.808 0.000 0.000
0.000 2.808 0.000
0.000 0.000 6.166
Co Li Ru
1 1 2
direct
0.500 0.500 0.250 Co
0.500 0.500 0.750 Li
0.000 0.000 0.001 Ru
0.000 0.000 0.499 Ru

---

Record 4
PBE LiCoRu, optimized geometry; E_form = 228 meV per atom; theoretical density = 8.1 g/cm3; crystal system = orthorhombic; V = 11.4 Å³/atom; total DFT energy (no corrections) = -5.870 eV per atom; symmetry = No. 74
1.0
6.584 0.000 0.000
0.000 4.673 0.000
3.292 2.337 2.222
Ru Co Li
2 2 2
direct
0.116 0.750 0.500 Ru
0.384 0.250 0.500 Ru
0.750 0.000 0.500 Co
0.750 0.500 0.500 Co
0.250 0.500 0.000 Li
0.750 0.000 0.000 Li

---

Record 5
PBE LiCoRu2, optimized geometry; E_form = 257 meV per atom; theoretical density = 8.8 g/cm3; crystal system = tetragonal; V = 12.6 Å³/atom; total DFT energy (no corrections) = -6.635 eV per atom; symmetry = No. 99
1.0
2.702 0.000 0.000
0.000 2.702 0.000
0.000 0.000 6.891
Co Li Ru
1 1 2
direct
0.000 0.000 0.503 Co
0.500 0.500 0.734 Li
0.000 0.000 0.998 Ru
0.500 0.500 0.265 Ru

---

Record 6
PBE LiCoRu2, optimized geometry; E_form = 347 meV per atom; theoretical density = 8.2 g/cm3; crystal system = orthorhombic; V = 13.6 Å³/atom; total DFT energy (no corrections) = -6.545 eV per atom; symmetry = No. 35
1.0
2.618 0.000 0.000
-1.190 2.332 0.000
0.000 0.000 8.886
Co Li Ru
1 1 2
direct
0.000 0.000 0.496 Co
0.500 0.500 0.743 Li
0.000 0.000 0.003 Ru
0.500 0.500 0.258 Ru